No. 1
Here is crystalline KLi2Sc at its relaxed geometry from the Alexandria database. Energies are from GGA-PBE.

a = 3.254 Å, b = 5.850 Å, c = 6.047 Å
α = 90.00°, β = 90.12°, γ = 90.00°
Sites, in units of the cell vectors:
K  0.000  0.000  0.000
Li  0.504  0.000  0.496
Li  0.504  0.500  0.122
Sc  0.006  0.500  0.587

Output
Calculated formation energy = 0.38 eV per atom
E_tot = -0.1789 Ry/atom
Energy above the lowest structure with this stoichiometry = 0.37 eV/f.u.

***

No. 2
Here is crystalline KLi2Sc at its relaxed geometry from the Alexandria database. Energies are from GGA-PBE.

a = 6.869 Å, b = 6.869 Å, c = 6.869 Å
α = 104.74°, β = 104.74°, γ = 119.42°
Sites, in units of the cell vectors:
K  0.000  0.000  0.000
K  0.750  0.250  0.500
Li  0.136  0.625  0.011
Li  0.375  0.386  0.511
Li  0.614  0.125  0.989
Li  0.875  0.864  0.489
Sc  0.250  0.750  0.500
Sc  0.500  0.500  0.000

Output
Calculated formation energy = 0.59 eV per atom
E_tot = -0.1632 Ry/atom
Energy above the lowest structure with this stoichiometry = 1.22 eV/f.u.

***

No. 3
Here is crystalline KLi2Sc at its relaxed geometry from the Alexandria database. Energies are from GGA-PBE.

a = 5.434 Å, b = 5.434 Å, c = 7.700 Å
α = 93.62°, β = 93.62°, γ = 34.09°
Sites, in units of the cell vectors:
K  0.000  0.000  0.000
Li  0.240  0.240  0.669
Li  0.760  0.760  0.331
Sc  0.500  0.500  0.500

Output
Calculated formation energy = 0.38 eV per atom
E_tot = -0.1790 Ry/atom
Energy above the lowest structure with this stoichiometry = 0.36 eV/f.u.

***

No. 4
Here is crystalline KLiSc2 at its relaxed geometry from the Alexandria database. Energies are from GGA-PBE.

a = 12.159 Å, b = 12.159 Å, c = 12.159 Å
α = 15.68°, β = 15.68°, γ = 15.68°
Sites, in units of the cell vectors:
K  0.000  0.000  0.000
Li  0.500  0.500  0.500
Sc  0.237  0.237  0.237
Sc  0.763  0.763  0.763

Output
Calculated formation energy = 0.46 eV per atom
E_tot = -0.2538 Ry/atom
Energy above the lowest structure with this stoichiometry = 0.74 eV/f.u.